Entry 1:
A plane-wave DFT calculation with PBE-GGA was carried out for a relaxed Ni2SnSbOs crystal.

a = 4.563 Å, b = 4.563 Å, c = 5.518 Å
α = 90.00°, β = 90.00°, γ = 90.00°
Fractional positions:
Ni 0.000 0.500 0.000
Ni 0.500 0.000 0.000
Sn 0.000 0.000 0.000
Sb 0.000 0.000 0.500
Os 0.500 0.500 0.500

Results
- DOS at the Fermi energy (states/eV/atom) = 1.4073
- electronic total energy (eV/atom) = -4.3880
- formation energy from raw total energies (eV/atom) = 1.796

Entry 2:
A plane-wave DFT calculation with PBE-GGA was carried out for a relaxed CsNaAc2Se4 crystal.

a = 8.012 Å, b = 8.012 Å, c = 16.088 Å
α = 90.00°, β = 90.00°, γ = 146.24°
Fractional positions:
Cs 0.108 0.892 0.750
Cs 0.892 0.108 0.250
Na 0.171 0.829 0.250
Na 0.829 0.171 0.750
Ac 0.368 0.632 0.561
Ac 0.368 0.632 0.939
Ac 0.632 0.368 0.061
Ac 0.632 0.368 0.439
Se 0.000 0.000 0.000
Se 0.000 0.000 0.500
Se 0.260 0.740 0.101
Se 0.260 0.740 0.399
Se 0.426 0.574 0.750
Se 0.574 0.426 0.250
Se 0.740 0.260 0.601
Se 0.740 0.260 0.899

Results
- DOS at the Fermi energy (states/eV/atom) = 0.0000
- electronic total energy (eV/atom) = -4.7564
- formation energy from raw total energies (eV/atom) = -1.715

Entry 3:
A plane-wave DFT calculation with PBE-GGA was carried out for a relaxed CuSnIrPt2 crystal.

a = 4.562 Å, b = 4.562 Å, c = 4.575 Å
α = 90.00°, β = 90.00°, γ = 90.00°
Fractional positions:
Cu 0.000 0.000 0.000
Sn 0.000 0.000 0.500
Ir 0.500 0.500 0.500
Pt 0.000 0.500 0.000
Pt 0.500 0.000 0.000

Results
- formation energy from the elements (eV per atom) = 1.030
- DOS at the Fermi energy (states/eV/atom) = 0.5918
- electronic total energy (eV/atom) = -4.7788

Entry 4:
A plane-wave DFT calculation with PBE-GGA was carried out for a relaxed InPdPb2 crystal.

a = 10.920 Å, b = 10.920 Å, c = 10.920 Å
α = 156.20°, β = 156.20°, γ = 33.91°
Fractional positions:
In 0.000 0.000 0.000
In 0.750 0.250 0.500
Pd 0.250 0.750 0.500
Pd 0.500 0.500 0.000
Pb 0.138 0.625 0.013
Pb 0.375 0.388 0.513
Pb 0.612 0.125 0.987
Pb 0.875 0.862 0.487

Results
- formation energy from the elements (eV per atom) = 0.094
- DOS at the Fermi energy (states/eV/atom) = 0.4833
- electronic total energy (eV/atom) = -3.7435

Entry 5:
A plane-wave DFT calculation with PBE-GGA was carried out for a relaxed TiAl6Cu crystal.

a = 5.635 Å, b = 5.635 Å, c = 3.955 Å
α = 90.00°, β = 90.00°, γ = 90.00°
Fractional positions:
Ti 0.000 0.000 0.000
Al 0.000 0.500 0.000
Al 0.251 0.251 0.500
Al 0.251 0.749 0.500
Al 0.500 0.000 0.000
Al 0.749 0.251 0.500
Al 0.749 0.749 0.500
Cu 0.500 0.500 0.000

Results
- formation energy from the elements (eV per atom) = -0.161
- DOS at the Fermi energy (states/eV/atom) = 0.6236
- electronic total energy (eV/atom) = -4.4667

Entry 6:
A plane-wave DFT calculation with PBE-GGA was carried out for a relaxed Cs2NpNiSe4 crystal.

a = 15.353 Å, b = 13.757 Å, c = 8.132 Å
α = 84.96°, β = 63.20°, γ = 31.84°
Fractional positions:
Cs 0.053 0.053 0.697
Cs 0.303 0.303 0.947
Cs 0.697 0.697 0.053
Cs 0.947 0.947 0.303
Np 0.125 0.125 0.125
Np 0.875 0.875 0.875
Ni 0.375 0.375 0.375
Ni 0.625 0.625 0.625
Se 0.010 0.638 0.547
Se 0.304 0.547 0.638
Se 0.362 0.990 0.696
Se 0.453 0.696 0.990
Se 0.547 0.304 0.010
Se 0.638 0.010 0.304
Se 0.696 0.453 0.362
Se 0.990 0.362 0.453

Results
- DOS at the Fermi energy (states/eV/atom) = 1.3177
- electronic total energy (eV/atom) = -5.0953
- formation energy from raw total energies (eV/atom) = -0.799

Entry 7:
A plane-wave DFT calculation with PBE-GGA was carried out for a relaxed PaFeH crystal.

a = 4.268 Å, b = 4.268 Å, c = 4.268 Å
α = 130.94°, β = 130.94°, γ = 71.91°
Fractional positions:
Pa 0.000 0.000 0.000
Fe 0.473 0.473 0.000
H 0.691 0.691 0.000

Results
- DOS at the Fermi energy (states/eV/atom) = 0.6902
- electronic total energy (eV/atom) = -7.1802
- energy relative to the lowest polymorph listed for this composition (eV/atom) = 0.207

Entry 8:
A plane-wave DFT calculation with PBE-GGA was carried out for a relaxed SrTc2As crystal.

a = 5.739 Å, b = 5.739 Å, c = 5.739 Å
α = 149.54°, β = 127.13°, γ = 62.25°
Fractional positions:
Sr 0.000 0.000 0.000
Tc 0.293 0.793 0.500
Tc 0.707 0.207 0.500
As 0.500 0.500 0.000

Results
- formation energy from the elements (eV per atom) = 0.464
- DOS at the Fermi energy (states/eV/atom) = 0.9383
- electronic total energy (eV/atom) = -6.3023

Entry 9:
A plane-wave DFT calculation with PBE-GGA was carried out for a relaxed PrTm2Au crystal.

a = 6.518 Å, b = 6.518 Å, c = 7.744 Å
α = 90.00°, β = 90.00°, γ = 135.69°
Fractional positions:
Pr 0.049 0.951 0.750
Pr 0.951 0.049 0.250
Tm 0.353 0.647 0.537
Tm 0.353 0.647 0.963
Tm 0.647 0.353 0.037
Tm 0.647 0.353 0.463
Au 0.206 0.794 0.250
Au 0.794 0.206 0.750

Results
- formation energy from the elements (eV per atom) = -0.425
- DOS at the Fermi energy (states/eV/atom) = 1.4181
- electronic total energy (eV/atom) = -4.6753
- energy relative to the lowest polymorph listed for this composition (eV/atom) = 0.000

Entry 10:
A plane-wave DFT calculation with PBE-GGA was carried out for a relaxed BeTc2Hg crystal.

a = 2.739 Å, b = 2.739 Å, c = 8.093 Å
α = 90.00°, β = 90.00°, γ = 104.66°
Fractional positions:
Be 0.000 0.000 0.000
Tc 0.500 0.500 0.197
Tc 0.500 0.500 0.803
Hg 0.000 0.000 0.500

Results
- formation energy from the elements (eV per atom) = 0.445
- DOS at the Fermi energy (states/eV/atom) = 0.7420
- electronic total energy (eV/atom) = -5.7447
- energy relative to the lowest polymorph listed for this composition (eV/atom) = 0.309

Entry 11:
A plane-wave DFT calculation with PBE-GGA was carried out for a relaxed Ba3AgPb3 crystal.

a = 6.831 Å, b = 6.831 Å, c = 17.180 Å
α = 109.24°, β = 109.24°, γ = 45.39°
Fractional positions:
Ba 0.049 0.049 0.387
Ba 0.095 0.095 0.920
Ba 0.247 0.247 0.233
Ba 0.753 0.753 0.767
Ba 0.905 0.905 0.080
Ba 0.951 0.951 0.613
Ag 0.249 0.249 0.608
Ag 0.751 0.751 0.392
Pb 0.365 0.365 0.461
Pb 0.385 0.385 0.924
Pb 0.459 0.459 0.766
Pb 0.541 0.541 0.234
Pb 0.615 0.615 0.076
Pb 0.635 0.635 0.539

Results
- formation energy from the elements (eV per atom) = -0.498
- DOS at the Fermi energy (states/eV/atom) = 0.4350
- electronic total energy (eV/atom) = -3.3189

Entry 12:
A plane-wave DFT calculation with PBE-GGA was carried out for a relaxed K3Pr2RhO6 crystal.

a = 6.048 Å, b = 6.048 Å, c = 6.585 Å
α = 98.67°, β = 98.67°, γ = 119.93°
Fractional positions:
K 0.000 0.000 0.000
K 0.342 0.658 0.000
K 0.658 0.342 0.000
Pr 0.167 0.833 0.500
Pr 0.833 0.167 0.500
Rh 0.500 0.500 0.500
O 0.130 0.436 0.308
O 0.255 0.255 0.689
O 0.436 0.130 0.308
O 0.564 0.870 0.692
O 0.745 0.745 0.311
O 0.870 0.564 0.692

Results
- electronic total energy (eV/atom) = -6.1369
- formation energy from raw total energies (eV/atom) = -1.974

Entry 13:
A plane-wave DFT calculation with PBE-GGA was carried out for a relaxed Tl2Se4S crystal.

a = 8.770 Å, b = 8.770 Å, c = 9.465 Å
α = 120.72°, β = 120.72°, γ = 79.89°
Fractional positions:
Tl 0.128 0.295 0.341
Tl 0.295 0.128 0.841
Tl 0.705 0.872 0.159
Tl 0.872 0.705 0.659
Se 0.080 0.634 0.228
Se 0.148 0.714 0.538
Se 0.286 0.852 0.962
Se 0.366 0.920 0.272
Se 0.634 0.080 0.728
Se 0.714 0.148 0.038
Se 0.852 0.286 0.462
Se 0.920 0.366 0.772
S 0.341 0.659 0.250
S 0.659 0.341 0.750

Results
- DOS at the Fermi energy (states/eV/atom) = 0.0064
- electronic total energy (eV/atom) = -3.3722
- formation energy from raw total energies (eV/atom) = -0.115

Entry 14:
A plane-wave DFT calculation with PBE-GGA was carried out for a relaxed Ce2TaSi3Ir4 crystal.

a = 4.161 Å, b = 4.161 Å, c = 10.355 Å
α = 90.00°, β = 90.00°, γ = 90.00°
Fractional positions:
Ce 0.000 0.500 0.244
Ce 0.500 0.000 0.756
Ta 0.000 0.000 0.500
Si 0.000 0.500 0.875
Si 0.500 0.000 0.125
Si 0.500 0.500 0.500
Ir 0.000 0.000 0.000
Ir 0.000 0.500 0.641
Ir 0.500 0.000 0.359
Ir 0.500 0.500 0.000

Results
- DOS at the Fermi energy (states/eV/atom) = 1.1282
- electronic total energy (eV/atom) = -8.4947
- formation energy from raw total energies (eV/atom) = -0.951